The following is a DFT calculation (PBE) of a geometry-optimized CsRb2Na2 structure.

```
data_CsRb2Na2
_cell_length_a 16.4877
_cell_length_b 5.6857
_cell_length_c 8.2526
_cell_angle_alpha 90.00
_cell_angle_beta 102.33
_cell_angle_gamma 90.00
_symmetry_space_group_name_H-M 'C 1 2/m 1'
_symmetry_Int_Tables_number 12
loop_
_symmetry_equiv_pos_as_xyz
'x,y,z'
'-x,-y,-z'
'-x,y,-z'
'x,-y,z'
'x+1/2,y+1/2,z'
'-x+1/2,-y+1/2,-z'
'-x+1/2,y+1/2,-z'
'x+1/2,-y+1/2,z'
loop_
_atom_site_label
_atom_site_fract_x
_atom_site_fract_y
_atom_site_fract_z
_atom_site_occupancy
Cs1 0.0000 0.0000 0.0000 1
Rb1 0.1428 0.5000 0.5667 1
Na1 0.2186 0.5000 0.0995 1
```

Summary:
crystal system	monoclinic
polymorph energy (0 for the lowest one)	8	meV/atom
total DFT energy (no corrections)	-1.048	eV/atom
Fermi-level density of states	7.0	states/eV/cell

=====

The following is a DFT calculation (PBE) of a geometry-optimized SrTa2Pb structure.

```
data_SrTa2Pb
_cell_length_a 6.1972
_cell_length_b 10.2739
_cell_length_c 3.0066
_cell_angle_alpha 90.00
_cell_angle_beta 90.00
_cell_angle_gamma 90.00
_symmetry_space_group_name_H-M 'C m m m'
_symmetry_Int_Tables_number 65
_symmetry_space_group_name_Hall '-C 2 2'
loop_
_atom_site_label
_atom_site_fract_x
_atom_site_fract_y
_atom_site_fract_z
_atom_site_occupancy
Sr1 0.0000 0.0000 0.0000 1
Ta1 0.2500 0.2500 0.5000 1
Pb1 0.0000 0.5000 0.0000 1
```

Summary:
crystal system	orthorhombic
total DFT energy (no corrections)	-6.319	eV/atom
Fermi-level density of states	7.9	states/eV/cell

=====

Number 1: energy of formation from the pure elements 3.6 kJ/mol of atoms. Number 2: energy of formation from the pure elements 92.2 kJ/mol of atoms.